# 1
Entry from Alexandria via LeMat-Bulk: a geometry-optimized Ta2NiAs structure (PBE).

abc: 4.530 4.530 3.106
angles: 90.00 90.00 102.59
Positions (direct):
As 0.500 0.000 0.500
Ta 0.000 0.000 0.000
Ta 0.500 0.500 0.000
Ni 0.000 0.500 0.500

Results
- Space-group type: No. 65
- Size of the total moment: 0.000 μB per cell
- Fermi-level density of states: 2.78 states/eV per cell

# 2
Entry from Alexandria via LeMat-Bulk: a geometry-optimized TaNi2As structure (PBE).

abc: 3.739 3.738 3.898
angles: 90.00 90.00 90.00
Positions (direct):
As 0.000 0.500 0.500
Ni 0.000 0.000 0.000
Ta 0.500 0.000 0.500
Ni 0.500 0.500 0.000

Results
- Space-group type: No. 123
- Size of the total moment: 0.000 μB per cell
- Fermi-level density of states: 3.07 states/eV per cell

Which DFT formation energy belongs to each record? In order, -0.142; -0.195 eV per atom.